# 1
Compound: YTm3Zn2
Source: the Alexandria database
Functional: PBE
Structure: relaxed

Cell lengths 3.531, 3.531, 12.062 Å; angles 90.00, 90.00, 90.00 degrees
Sites, in units of the cell vectors:
1 Zn 0.500 0.500 0.144
2 Zn 0.500 0.500 0.856
3 Tm 0.000 0.000 0.288
4 Tm 0.000 0.000 0.712
5 Tm 0.000 0.000 0.000
6 Y 0.500 0.500 0.500

Results
V: 25.06 Å³ per atom
energy of formation: -230 meV per atom
space-group type: P4/mmm (123)

=====

# 2
Compound: OsC2Br
Source: the Alexandria database
Functional: PBE
Structure: relaxed

Cell lengths 3.982, 3.982, 3.982 Å; angles 60.00, 60.00, 60.00 degrees
Sites, in units of the cell vectors:
1 Br 0.000 0.000 0.000
2 C 0.750 0.750 0.750
3 C 0.250 0.250 0.250
4 Os 0.500 0.500 0.500

Results
V: 11.16 Å³ per atom
energy relative to the elements, uncorrected: 2.94 eV/atom
space-group type: Fm-3m (225)

=====

# 3
Compound: Y2Si3Ir3
Source: the Alexandria database
Functional: PBE
Structure: relaxed

Cell lengths 2.813, 2.813, 20.155 Å; angles 90.00, 90.00, 90.00 degrees
Sites, in units of the cell vectors:
1 Si 0.500 0.500 0.614
2 Si 0.500 0.500 0.000
3 Si 0.500 0.500 0.386
4 Y 0.500 0.500 0.245
5 Y 0.500 0.500 0.755
6 Ir 0.500 0.500 0.888
7 Ir 0.500 0.500 0.500
8 Ir 0.500 0.500 0.112

Results
V: 19.93 Å³ per atom
energy relative to the elements, uncorrected: 0.71 eV/atom
space-group type: P4/mmm (123)

=====

# 4
Compound: MnTeI2N
Source: the Alexandria database
Functional: PBE
Structure: relaxed

Cell lengths 5.561, 5.561, 3.583 Å; angles 90.00, 90.00, 90.00 degrees
Sites, in units of the cell vectors:
1 N 0.000 0.000 0.500
2 I 0.000 0.500 0.000
3 I 0.500 0.000 0.000
4 Mn 0.000 0.000 0.000
5 Te 0.500 0.500 0.500

Results
V: 22.17 Å³ per atom
energy relative to the elements, uncorrected: 0.49 eV/atom
space-group type: P4/mmm (123)